Entry 1:
# TaSi2Sb

A relaxed structure of TaSi2Sb (PBE, Alexandria via LeMat-Bulk).

Unit cell a=3.429 b=4.441 c=4.725 alpha=90.00 beta=90.00 gamma=90.00
Space group Pmmm (No. 47)
Asymmetric unit:
Ta 0.000 0.000 0.000
Si 0.000 0.500 0.500
Si 0.500 0.500 0.000
Sb 0.500 0.000 0.500

Calculated values
The formation energy from raw total energies is 0.482 eV/atom. The crystal system is orthorhombic. Its energy is -6.223 eV/atom. The density of states at the Fermi level comes out at 2.1 states/eV per cell. For the magnetic moment, the calculation gives 0.0 μB per formula unit.

---

Entry 2:
# Ta2SiSb

A relaxed structure of Ta2SiSb (PBE, Alexandria via LeMat-Bulk).

Unit cell a=3.837 b=4.944 c=7.715 alpha=90.00 beta=90.00 gamma=90.00
Space group Cmmm (No. 65)
Asymmetric unit:
Ta 0.000 0.000 0.217
Si 0.000 0.500 0.000
Sb 0.000 0.500 0.500

Calculated values
The formation energy from raw total energies is 0.095 eV/atom. The polymorph energy (0 for the lowest one) comes out at 5.84 kcal/mol of atoms. The crystal system is orthorhombic. Its energy is -8.217 eV/atom. The density of states at the Fermi level comes out at 5.4 states/eV per cell. For the magnetic moment, the calculation gives 0.0 μB per formula unit.

---

Entry 3:
# TaSi2Sb

A relaxed structure of TaSi2Sb (PBE, Alexandria via LeMat-Bulk).

Unit cell a=3.0524 b=3.0524 c=30.1357 alpha=90.00 beta=90.00 gamma=120.00
Space group R3m (No. 160, hexagonal axes)
Asymmetric unit:
Ta 0.0000 0.0000 0.0000
Si 0.0000 0.0000 0.2635
Si 0.0000 0.0000 0.5356
Sb 0.0000 0.0000 0.7471

Calculated values
The formation energy from raw total energies is 0.345 eV/atom. The crystal system is trigonal. Its energy is -6.361 eV/atom. The density of states at the Fermi level comes out at 9.3 states/eV per cell. For the magnetic moment, the calculation gives 0.0 μB per formula unit.

---

Entry 4:
# TaSiSb3

A relaxed structure of TaSiSb3 (PBE, Alexandria via LeMat-Bulk).

Unit cell a=5.063 b=5.063 c=5.063 alpha=90.00 beta=90.00 gamma=90.00
Space group Pm-3m (No. 221)
Asymmetric unit:
Ta 0.000 0.000 0.000
Si 0.500 0.500 0.500
Sb 0.000 0.500 0.500

Calculated values
The formation energy from raw total energies is 1.208 eV/atom. The polymorph energy (0 for the lowest one) comes out at 8.48 kcal/mol of atoms. The crystal system is cubic. Its energy is -4.721 eV/atom. The density of states at the Fermi level comes out at 4.6 states/eV per cell. For the magnetic moment, the calculation gives 0.0 μB per formula unit.

---

Entry 5:
# Ta2SiSb

A relaxed structure of Ta2SiSb (PBE, Alexandria via LeMat-Bulk).

Unit cell a=6.586 b=6.586 c=6.586 alpha=90.00 beta=90.00 gamma=90.00
Space group Fm-3m (No. 225)
Asymmetric unit:
Ta 0.250 0.250 0.250
Si 0.000 0.000 0.000
Sb 0.000 0.000 0.500

Calculated values
The formation energy from raw total energies is 0.122 eV/atom. The polymorph energy (0 for the lowest one) comes out at 6.46 kcal/mol of atoms. The crystal system is cubic. Its energy is -8.190 eV/atom. The density of states at the Fermi level comes out at 12.9 states/eV per cell. For the magnetic moment, the calculation gives 0.0 μB per formula unit.

---

Entry 6:
# TaSi2Sb

A relaxed structure of TaSi2Sb (PBE, Alexandria via LeMat-Bulk).

Unit cell a=3.0450 b=3.0450 c=28.1323 alpha=90.00 beta=90.00 gamma=120.00
Space group R-3m (No. 166, hexagonal axes)
Asymmetric unit:
Ta 0.0000 0.0000 0.0000
Si 0.0000 0.0000 0.2597
Sb 0.0000 0.0000 0.5000

Calculated values
The formation energy from raw total energies is 0.311 eV/atom. The crystal system is trigonal. Its energy is -6.395 eV/atom. The density of states at the Fermi level comes out at 10.5 states/eV per cell. For the magnetic moment, the calculation gives 0.0 μB per formula unit.